(1)
This record from Alexandria via LeMat-Bulk describes a geometry-optimized AcLa5PrNd2 structure. The functional is GGA-PBE.

Results
For the volume, the calculation gives 37.90 Å³ per atom. The calculation puts the total energy at -4.548 eV per atom. For the formation energy, the calculation gives 0.237 eV/atom. As for the crystal system: tetragonal.

Structure (CIF):
```
data_AcLa5PrNd2
_chemical_formula_sum 'Ac4 La20 Pr4 Nd8'
_cell_length_a 9.285
_cell_length_b 9.285
_cell_length_c 15.827
_cell_angle_alpha 90.00
_cell_angle_beta 90.00
_cell_angle_gamma 90.00
_symmetry_space_group_name_H-M 'I 4/m c m'
_symmetry_Int_Tables_number 140
_symmetry_space_group_name_Hall '-I 4 2c'
loop_
_atom_site_label
_atom_site_type_symbol
_atom_site_fract_x
_atom_site_fract_y
_atom_site_fract_z
_atom_site_occupancy
Ac1 Ac 0.000 0.500 0.250 1
La1 La 0.000 0.000 0.000 1
La2 La 0.208 0.292 0.132 1
Pr1 Pr 0.000 0.000 0.250 1
Nd1 Nd 0.114 0.386 0.500 1
```

(2)
This record from Alexandria via LeMat-Bulk describes a geometry-optimized AcLa2PrNd6 structure. The functional is GGA-PBE.

Results
For the volume, the calculation gives 37.05 Å³ per atom. The calculation puts the total energy at -4.622 eV per atom. For the formation energy, the calculation gives 0.113 eV/atom. As for the crystal system: monoclinic.

Structure (CIF):
```
data_AcLa2PrNd6
_chemical_formula_sum 'Ac4 La8 Pr4 Nd24'
_cell_length_a 9.392
_cell_length_b 15.774
_cell_length_c 10.080
_cell_angle_alpha 90.00
_cell_angle_beta 97.14
_cell_angle_gamma 90.00
_symmetry_space_group_name_H-M 'C 1 2/c 1'
_symmetry_Int_Tables_number 15
loop_
_symmetry_equiv_pos_as_xyz
'x,y,z'
'-x,-y,-z'
'-x,y,-z+1/2'
'x,-y,z+1/2'
'x+1/2,y+1/2,z'
'-x+1/2,-y+1/2,-z'
'-x+1/2,y+1/2,-z+1/2'
'x+1/2,-y+1/2,z+1/2'
loop_
_atom_site_label
_atom_site_type_symbol
_atom_site_fract_x
_atom_site_fract_y
_atom_site_fract_z
_atom_site_occupancy
Ac1 Ac 0.000 0.019 0.250 1
La1 La 0.248 0.057 0.542 1
Pr1 Pr 0.000 0.406 0.750 1
Nd1 Nd 0.068 0.192 0.945 1
Nd2 Nd 0.103 0.397 0.118 1
Nd3 Nd 0.204 0.228 0.313 1
```

(3)
This record from Alexandria via LeMat-Bulk describes a geometry-optimized Ac6La3Pr2Nd structure. The functional is GGA-PBE.

Results
For the volume, the calculation gives 40.59 Å³ per atom. The calculation puts the total energy at -4.458 eV per atom. For the formation energy, the calculation gives 0.022 eV/atom. As for the crystal system: monoclinic.

Structure (CIF):
```
data_Ac6La3Pr2Nd
_chemical_formula_sum 'Ac12 La6 Pr4 Nd2'
_cell_length_a 6.721
_cell_length_b 11.658
_cell_length_c 12.636
_cell_angle_alpha 90.00
_cell_angle_beta 100.28
_cell_angle_gamma 90.00
_symmetry_space_group_name_H-M 'C 1 2/m 1'
_symmetry_Int_Tables_number 12
loop_
_symmetry_equiv_pos_as_xyz
'x,y,z'
'-x,-y,-z'
'-x,y,-z'
'x,-y,z'
'x+1/2,y+1/2,z'
'-x+1/2,-y+1/2,-z'
'-x+1/2,y+1/2,-z'
'x+1/2,-y+1/2,z'
loop_
_atom_site_label
_atom_site_type_symbol
_atom_site_fract_x
_atom_site_fract_y
_atom_site_fract_z
_atom_site_occupancy
Ac1 Ac 0.249 0.167 0.248 1
Ac2 Ac 0.250 0.000 0.752 1
La1 La 0.000 0.167 0.500 1
La2 La 0.000 0.500 0.500 1
Pr1 Pr 0.000 0.333 0.000 1
Nd1 Nd 0.000 0.000 0.000 1
```

(4)
This record from Alexandria via LeMat-Bulk describes a geometry-optimized AcLaPr2Nd2 structure. The functional is GGA-PBE.

Results
For the volume, the calculation gives 37.27 Å³ per atom. The calculation puts the total energy at -4.644 eV per atom. For the formation energy, the calculation gives 0.044 eV/atom. As for the crystal system: orthorhombic.

Structure (CIF):
```
data_AcLaPr2Nd2
_chemical_formula_sum 'Ac2 La2 Pr4 Nd4'
_cell_length_a 7.372
_cell_length_b 5.929
_cell_length_c 10.230
_cell_angle_alpha 90.00
_cell_angle_beta 90.00
_cell_angle_gamma 90.00
_symmetry_space_group_name_H-M 'P m m a'
_symmetry_Int_Tables_number 51
loop_
_symmetry_equiv_pos_as_xyz
'x,y,z'
'-x,-y,-z'
'-x+1/2,-y,z'
'x+1/2,y,-z'
'x+1/2,-y,-z'
'-x+1/2,y,z'
'-x,y,-z'
'x,-y,z'
loop_
_atom_site_label
_atom_site_type_symbol
_atom_site_fract_x
_atom_site_fract_y
_atom_site_fract_z
_atom_site_occupancy
Ac1 Ac 0.000 0.000 0.000 1
La1 La 0.250 0.500 0.171 1
Pr1 Pr 0.000 0.500 0.500 1
Pr2 Pr 0.250 0.000 0.663 1
Nd1 Nd 0.250 0.000 0.335 1
Nd2 Nd 0.250 0.500 0.831 1
```

(5)
This record from Alexandria via LeMat-Bulk describes a geometry-optimized AcLa2PrNd5 structure. The functional is GGA-PBE.

Results
For the volume, the calculation gives 37.04 Å³ per atom. The calculation puts the total energy at -4.495 eV per atom. For the formation energy, the calculation gives 0.237 eV/atom. As for the crystal system: tetragonal.

Structure (CIF):
```
data_AcLa2PrNd5
_chemical_formula_sum 'Ac4 La8 Pr4 Nd20'
_cell_length_a 9.043
_cell_length_b 9.043
_cell_length_c 16.307
_cell_angle_alpha 90.00
_cell_angle_beta 90.00
_cell_angle_gamma 90.00
_symmetry_space_group_name_H-M 'I 4/m c m'
_symmetry_Int_Tables_number 140
_symmetry_space_group_name_Hall '-I 4 2c'
loop_
_atom_site_label
_atom_site_type_symbol
_atom_site_fract_x
_atom_site_fract_y
_atom_site_fract_z
_atom_site_occupancy
Ac1 Ac 0.000 0.500 0.250 1
La1 La 0.116 0.384 0.000 1
Pr1 Pr 0.000 0.000 0.250 1
Nd1 Nd 0.000 0.000 0.000 1
Nd2 Nd 0.215 0.285 0.364 1
```

(6)
This record from Alexandria via LeMat-Bulk describes a geometry-optimized Ac6LaPr2Nd3 structure. The functional is GGA-PBE.

Results
For the volume, the calculation gives 40.23 Å³ per atom. The calculation puts the total energy at -4.430 eV per atom. For the formation energy, the calculation gives 0.023 eV/atom. As for the crystal system: monoclinic.

Structure (CIF):
```
data_Ac6LaPr2Nd3
_chemical_formula_sum 'Ac12 La2 Pr4 Nd6'
_cell_length_a 6.711
_cell_length_b 11.639
_cell_length_c 12.564
_cell_angle_alpha 90.00
_cell_angle_beta 100.29
_cell_angle_gamma 90.00
_symmetry_space_group_name_H-M 'C 1 2/m 1'
_symmetry_Int_Tables_number 12
loop_
_symmetry_equiv_pos_as_xyz
'x,y,z'
'-x,-y,-z'
'-x,y,-z'
'x,-y,z'
'x+1/2,y+1/2,z'
'-x+1/2,-y+1/2,-z'
'-x+1/2,y+1/2,-z'
'x+1/2,-y+1/2,z'
loop_
_atom_site_label
_atom_site_type_symbol
_atom_site_fract_x
_atom_site_fract_y
_atom_site_fract_z
_atom_site_occupancy
Ac1 Ac 0.249 0.000 0.248 1
Ac2 Ac 0.249 0.333 0.248 1
La1 La 0.000 0.000 0.500 1
Pr1 Pr 0.000 0.333 0.500 1
Nd1 Nd 0.000 0.167 0.000 1
Nd2 Nd 0.000 0.500 0.000 1
```

(7)
This record from Alexandria via LeMat-Bulk describes a geometry-optimized Ac2LaPr4Nd structure. The functional is GGA-PBE.

Results
For the volume, the calculation gives 39.08 Å³ per atom. The calculation puts the total energy at -4.277 eV per atom. For the formation energy, the calculation gives 0.352 eV/atom. As for the crystal system: monoclinic.

Structure (CIF):
```
data_Ac2LaPr4Nd
_chemical_formula_sum 'Ac8 La4 Pr16 Nd4'
_cell_length_a 14.250
_cell_length_b 14.024
_cell_length_c 7.275
_cell_angle_alpha 90.00
_cell_angle_beta 120.67
_cell_angle_gamma 90.00
_symmetry_space_group_name_H-M 'C 1 2/c 1'
_symmetry_Int_Tables_number 15
loop_
_symmetry_equiv_pos_as_xyz
'x,y,z'
'-x,-y,-z'
'-x,y,-z+1/2'
'x,-y,z+1/2'
'x+1/2,y+1/2,z'
'-x+1/2,-y+1/2,-z'
'-x+1/2,y+1/2,-z+1/2'
'x+1/2,-y+1/2,z+1/2'
loop_
_atom_site_label
_atom_site_type_symbol
_atom_site_fract_x
_atom_site_fract_y
_atom_site_fract_z
_atom_site_occupancy
Ac1 Ac 0.000 0.000 0.000 1
Ac2 Ac 0.250 0.250 0.000 1
La1 La 0.250 0.250 0.500 1
Pr1 Pr 0.000 0.259 0.018 1
Pr2 Pr 0.237 0.492 0.484 1
Nd1 Nd 0.000 0.500 0.000 1
```

(8)
This record from Alexandria via LeMat-Bulk describes a geometry-optimized Ac2La5PrNd structure. The functional is GGA-PBE.

Results
For the volume, the calculation gives 38.55 Å³ per atom. The calculation puts the total energy at -4.442 eV per atom. For the formation energy, the calculation gives 0.270 eV/atom. As for the crystal system: tetragonal.

Structure (CIF):
```
data_Ac2La5PrNd
_chemical_formula_sum 'Ac8 La20 Pr4 Nd4'
_cell_length_a 9.173
_cell_length_b 9.173
_cell_length_c 16.496
_cell_angle_alpha 90.00
_cell_angle_beta 90.00
_cell_angle_gamma 90.00
_symmetry_space_group_name_H-M 'I 4/m c m'
_symmetry_Int_Tables_number 140
_symmetry_space_group_name_Hall '-I 4 2c'
loop_
_atom_site_label
_atom_site_type_symbol
_atom_site_fract_x
_atom_site_fract_y
_atom_site_fract_z
_atom_site_occupancy
Ac1 Ac 0.130 0.370 0.000 1
La1 La 0.000 0.000 0.000 1
La2 La 0.196 0.304 0.354 1
Pr1 Pr 0.000 0.000 0.250 1
Nd1 Nd 0.000 0.500 0.250 1
```